CdCoO2 | PBE with a Hubbard U | optimized geometry

```
CdCoO2
1.0
2.518 -1.455 0.000
2.518 1.455 0.000
-1.617 0.000 6.602
Cd Co O
1 1 2
Cartesian
0.000 0.000 0.000
1.710 0.000 3.301
0.030 0.000 2.350
3.389 0.000 4.252
```

Total energy ... -4.716 eV/atom
Symmetry ... C2/m, No. 12
Total magnetic moment ... 0.000 μB/atom